# 1
A relaxed structure of ErAuS2. Source: Alexandria, functional GGA-PBE.

Lattice parameters (Å, degrees): 4.0803 4.0803 14.7350 90.00 90.00 120.00
Closest atoms and distances in Å follow each position.
Space group P6_3/mmc (No. 194)
Inequivalent atoms, fractional coordinates:
Er 0.0000 0.0000 0.0000  6 S 2.73
Au 0.3333 0.6667 0.2500  2 S 2.31
S 0.3333 0.6667 0.0934  1 Au 2.31

Summary:
For the uncorrected formation energy, the calculation gives -1.30 eV/atom. The calculation puts the total moment at 0.0 Bohr magnetons per cell. For the electronic total energy, the calculation gives -21.29 eV/f.u.

# 2
A relaxed structure of HIBr. Source: Alexandria, functional GGA-PBE.

Lattice parameters (Å, degrees): 4.7185 6.1237 7.2838 77.79 80.57 71.34
Closest atoms and distances in Å follow each position.
Space group P-1 (No. 2)
Inequivalent atoms, fractional coordinates:
H 0.0212 0.2515 0.4751  1 Br 1.64
I 0.2049 0.7602 0.2642  1 H 2.02
Br 0.2055 0.2601 0.2635  1 H 1.64

Summary:
The calculation puts the total moment at 0.0 Bohr magnetons per cell. For the electronic total energy, the calculation gives -6.59 eV/f.u. For the energy relative to the lowest polymorph listed for this composition, the calculation gives 0.135 eV/atom.

# 3
A relaxed structure of ZrTaCl2. Source: Alexandria, functional GGA-PBE.

Lattice parameters (Å, degrees): 3.0155 3.8436 6.0949 90.00 90.00 90.00
Closest atoms and distances in Å follow each position.
Space group Pmmm (No. 47)
Inequivalent atoms, fractional coordinates:
Zr 0.0000 0.0000 0.0000  8 Cl 2.87, 2 Zr 3.02, 2 Ta 3.05
Ta 0.0000 0.0000 0.5000  8 Cl 2.88, 2 Ta 3.02, 2 Zr 3.05
Cl 0.5000 0.5000 0.2484  4 Zr 2.87, 4 Ta 2.88, 4 Cl 3.02-3.07

Summary:
For the uncorrected formation energy, the calculation gives 0.31 eV/atom. The calculation puts the total moment at 0.0 Bohr magnetons per cell. For the electronic total energy, the calculation gives -22.86 eV/f.u. For the energy relative to the lowest polymorph listed for this composition, the calculation gives 1.185 eV/atom.

# 4
A relaxed structure of LaNbTeO6. Source: Alexandria, functional GGA-PBE.

Lattice parameters (Å, degrees): 6.8707 7.5007 10.9102 79.88 77.08 89.35
Closest atoms and distances in Å follow each position.
Space group P-1 (No. 2)
Inequivalent atoms, fractional coordinates:
La 0.1720 0.2137 0.1548  8 O 2.43-2.63
La 0.2626 0.3603 0.4931  8 O 2.46-2.63
Nb 0.3150 0.0445 0.8019  2 O 1.82-1.87
Nb 0.3249 0.5393 0.8005  2 O 1.80-1.93
Te 0.1705 0.6978 0.2021  3 O 1.90-1.93
Te 0.2321 0.8700 0.4971  3 O 1.92-1.96
O 0.0032 0.4840 0.8206  1 Te 1.91
O 0.0034 0.9008 0.2064  1 Te 1.90
O 0.0365 0.1776 0.4031  1 Te 1.92
O 0.1006 0.6279 0.3858  1 Te 1.93
O 0.2105 0.7852 0.8188  2 Nb 2.02-2.04
O 0.2601 0.0683 0.9688  1 Nb 1.82
O 0.3142 0.0449 0.5877  1 Te 1.93
O 0.3170 0.4421 0.9649  1 Nb 1.80
O 0.3500 0.6502 0.5712  1 Te 1.96
O 0.3515 0.3147 0.7184  2 Nb 2.03-2.06
O 0.3944 0.3933 0.2575  1 Nb 1.93
O 0.4125 0.0034 0.2249  1 Nb 1.87

Summary:
For the uncorrected formation energy, the calculation gives -2.41 eV/atom. The calculation puts the total moment at 0.0 Bohr magnetons per cell. For the electronic total energy, the calculation gives -69.61 eV/f.u.